No. 1
Material: Pr6NdEr8
Method: DFT, PBE
State: optimized geometry

ΔE_f in kcal/mol of atoms: 2.9
Magnetic moment in μB per atom: 0.00
Symmetry: R-3, No. 148

abc: 8.7601 8.7601 8.7601
angles: 62.62 62.62 62.62
Closest atoms and distances in Å follow each position.
Element x y z (fractional)
Pr (0.0367, 0.7282, 0.6013)  4 Er 3.38-3.70, 1 Nd 3.48, 2 Pr 3.53
Pr (0.2718, 0.3987, 0.9633)  4 Er 3.38-3.70, 1 Nd 3.48, 2 Pr 3.53
Pr (0.3987, 0.9633, 0.2718)  4 Er 3.38-3.70, 1 Nd 3.48, 2 Pr 3.53
Pr (0.6013, 0.0367, 0.7282)  4 Er 3.38-3.70, 1 Nd 3.48, 2 Pr 3.53
Pr (0.7282, 0.6013, 0.0367)  4 Er 3.38-3.70, 1 Nd 3.48, 2 Pr 3.53
Pr (0.9633, 0.2718, 0.3987)  4 Er 3.38-3.70, 1 Nd 3.48, 2 Pr 3.53
Nd (0.5000, 0.5000, 0.5000)  6 Pr 3.48, 6 Er 3.58
Er (0.0764, 0.0764, 0.0764)  4 Er 3.21-3.43, 3 Pr 3.49
Er (0.2133, 0.2512, 0.6127)  3 Pr 3.38-3.70, 5 Er 3.43-3.48, 1 Nd 3.58
Er (0.2512, 0.6127, 0.2133)  3 Pr 3.38-3.70, 5 Er 3.43-3.48, 1 Nd 3.58
Er (0.3873, 0.7867, 0.7488)  3 Pr 3.38-3.70, 5 Er 3.43-3.48, 1 Nd 3.58
Er (0.6127, 0.2133, 0.2512)  3 Pr 3.38-3.70, 5 Er 3.43-3.48, 1 Nd 3.58
Er (0.7488, 0.3873, 0.7867)  3 Pr 3.38-3.70, 5 Er 3.43-3.48, 1 Nd 3.58
Er (0.7867, 0.7488, 0.3873)  3 Pr 3.38-3.70, 5 Er 3.43-3.48, 1 Nd 3.58
Er (0.9236, 0.9236, 0.9236)  4 Er 3.21-3.43, 3 Pr 3.49

---

No. 2
Material: NaAlPS2
Method: DFT, PBE
State: optimized geometry

Magnetic moment in μB per atom: 0.00
ΔE to the lowest computed polymorph in meV per atom: 1176
Formation energy from raw total energies in meV/atom: 1049.8
Symmetry: P4/mmm, No. 123

abc: 4.8930 4.8930 4.8615
angles: 90.00 90.00 90.00
Closest atoms and distances in Å follow each position.
Element x y z (fractional)
Na (0.0000, 0.0000, 0.0000)  2 P 2.43, 4 S 2.45
Al (0.5000, 0.5000, 0.5000)  8 S 3.45, 4 P 3.46
P (0.0000, 0.0000, 0.5000)  2 Na 2.43
S (0.0000, 0.5000, 0.0000)  2 Na 2.45
S (0.5000, 0.0000, 0.0000)  2 Na 2.45

---

No. 3
Material: InNiSbI2
Method: DFT, PBE
State: optimized geometry

Magnetic moment in μB per atom: 0.00
ΔE to the lowest computed polymorph in meV per atom: 0
Formation energy from raw total energies in meV/atom: 100.1
Symmetry: P4/mmm, No. 123

abc: 5.6521 5.6521 4.8406
angles: 90.00 90.00 90.00
Closest atoms and distances in Å follow each position.
Element x y z (fractional)
In (0.0000, 0.0000, 0.0000)  8 I 3.72, 4 Sb 4.00
Ni (0.5000, 0.5000, 0.5000)  2 Sb 2.42
Sb (0.5000, 0.5000, 0.0000)  2 Ni 2.42
I (0.0000, 0.5000, 0.5000)  2 Ni 2.83
I (0.5000, 0.0000, 0.5000)  2 Ni 2.83

---

No. 4
Material: DySiPd
Method: DFT, PBE
State: optimized geometry

Magnetic moment in μB per atom: 0.00
Formation energy from raw total energies in meV/atom: -952.0
Symmetry: P-6m2, No. 187

abc: 4.3500 4.3500 3.5276
angles: 90.00 90.00 120.00
Closest atoms and distances in Å follow each position.
Element x y z (fractional)
Dy (0.0000, 0.0000, 0.0000)  6 Pd 3.07, 6 Si 3.07
Si (0.3333, 0.6667, 0.5000)  3 Pd 2.51
Pd (0.6667, 0.3333, 0.5000)  3 Si 2.51

---

No. 5
Material: RbScAsSe2
Method: DFT, PBE
State: optimized geometry

Magnetic moment in μB per atom: 0.18
ΔE to the lowest computed polymorph in meV per atom: 0
Formation energy from raw total energies in meV/atom: -731.4
Symmetry: P4/mmm, No. 123

abc: 5.3015 5.3015 5.2628
angles: 90.00 90.00 90.00
Closest atoms and distances in Å follow each position.
Element x y z (fractional)
Rb (0.0000, 0.0000, 0.0000)  8 Se 3.74, 4 As 3.75
Sc (0.5000, 0.5000, 0.5000)  2 As 2.63, 4 Se 2.65
As (0.5000, 0.5000, 0.0000)  2 Sc 2.63
Se (0.0000, 0.5000, 0.5000)  2 Sc 2.65
Se (0.5000, 0.0000, 0.5000)  2 Sc 2.65

---

No. 6
Material: La3PbO
Method: DFT, PBE
State: optimized geometry

Magnetic moment in μB per atom: 0.00
Formation energy from raw total energies in meV/atom: -1371.7
Symmetry: P1, No. 1

abc: 6.9652 7.1642 7.5012
angles: 63.06 81.41 68.93
Closest atoms and distances in Å follow each position.
Element x y z (fractional)
La (0.0000, 0.0000, 0.0000)  1 O 2.38
La (0.0014, 0.5547, 0.5481)  1 O 2.36
La (0.4926, 0.5047, 0.7946)  2 O 2.36-2.39
La (0.4980, 0.9397, 0.2304)  2 O 2.36-2.37
La (0.5848, 0.0368, 0.6616)  2 O 2.36-2.38
La (0.9460, 0.4438, 0.1304)  2 Pb 3.29-3.53, 2 La 3.61-3.67
Pb (0.0874, 0.9974, 0.5557)  6 La 3.29-3.51, 1 O 3.67
Pb (0.4226, 0.5011, 0.2391)  6 La 3.29-3.59
O (0.6470, 0.1118, 0.9190)  4 La 2.36-2.39
O (0.6497, 0.7555, 0.5525)  4 La 2.36-2.38

---

No. 7
Material: Mo2OsBr
Method: DFT, PBE
State: optimized geometry

Magnetic moment in μB per atom: 0.00
ΔE to the lowest computed polymorph in meV per atom: 447
Formation energy from raw total energies in meV/atom: 920.9
Symmetry: C2/m, No. 12

abc: 4.9903 4.9903 2.9327
angles: 97.74 97.74 114.59
Closest atoms and distances in Å follow each position.
Element x y z (fractional)
Mo (0.0000, 0.5000, 0.0000)  4 Mo 2.70-2.93, 2 Br 2.72, 2 Os 2.72
Mo (0.5000, 0.0000, 0.0000)  4 Mo 2.70-2.93, 2 Br 2.72, 2 Os 2.72
Os (0.0000, 0.0000, 0.5000)  2 Br 2.70, 4 Mo 2.72, 2 Os 2.93
Br (0.5000, 0.5000, 0.5000)  2 Os 2.70, 4 Mo 2.72, 2 Br 2.93

---

No. 8
Material: Ti4CdS8
Method: DFT, PBE
State: optimized geometry

Magnetic moment in μB per atom: 0.12
ΔE to the lowest computed polymorph in meV per atom: 9
Formation energy from raw total energies in meV/atom: -1202.6
Symmetry: F-43m, No. 216

abc: 7.2353 7.2353 7.2353
angles: 60.00 60.00 60.00
Closest atoms and distances in Å follow each position.
Element x y z (fractional)
Ti (0.1162, 0.1162, 0.1162)  6 S 2.41-2.52
Ti (0.1162, 0.1162, 0.6514)  6 S 2.41-2.52
Ti (0.1162, 0.6514, 0.1162)  6 S 2.41-2.52
Ti (0.6514, 0.1162, 0.1162)  6 S 2.41-2.52
Cd (0.5000, 0.5000, 0.5000)  4 S 2.47
S (0.3588, 0.8804, 0.8804)  3 Ti 2.41
S (0.3607, 0.3607, 0.3607)  1 Cd 2.47, 3 Ti 2.52
S (0.3607, 0.3607, 0.9179)  1 Cd 2.47, 3 Ti 2.52
S (0.3607, 0.9179, 0.3607)  1 Cd 2.47, 3 Ti 2.52
S (0.8804, 0.3588, 0.8804)  3 Ti 2.41
S (0.8804, 0.8804, 0.3588)  3 Ti 2.41
S (0.8804, 0.8804, 0.8804)  3 Ti 2.41
S (0.9179, 0.3607, 0.3607)  1 Cd 2.47, 3 Ti 2.52

---

No. 9
Material: In2SbRh
Method: DFT, PBE
State: optimized geometry

Magnetic moment in μB per atom: 0.00
Formation energy from raw total energies in meV/atom: 120.9
Symmetry: Cmmm, No. 65

abc: 5.2560 5.2560 3.3083
angles: 90.00 90.00 110.28
Closest atoms and distances in Å follow each position.
Element x y z (fractional)
In (0.0000, 0.5000, 0.0000)  4 In 3.00-3.31, 4 Sb 3.11, 4 Rh 3.11
In (0.5000, 0.0000, 0.0000)  4 In 3.00-3.31, 4 Sb 3.11, 4 Rh 3.11
Sb (0.0000, 0.0000, 0.5000)  2 Rh 3.00, 8 In 3.11, 2 Sb 3.31
Rh (0.5000, 0.5000, 0.5000)  2 Sb 3.00, 8 In 3.11, 2 Rh 3.31

---

No. 10
Material: Pr2TlSb
Method: DFT, PBE
State: optimized geometry

Magnetic moment in μB per atom: 0.00
ΔE to the lowest computed polymorph in meV per atom: 61
Formation energy from raw total energies in meV/atom: -708.9
Symmetry: R-3m, No. 166

abc: 8.5267 8.5267 8.5267
angles: 29.79 29.79 29.79
Closest atoms and distances in Å follow each position.
Element x y z (fractional)
Pr (0.2436, 0.2436, 0.2436)  3 Sb 3.15, 3 Tl 3.35
Pr (0.7564, 0.7564, 0.7564)  3 Sb 3.15, 3 Tl 3.35
Tl (0.0000, 0.0000, 0.0000)  6 Pr 3.35
Sb (0.5000, 0.5000, 0.5000)  6 Pr 3.15

---

No. 11
Material: La5Pm2NdIn
Method: DFT, PBE
State: optimized geometry

ΔE_f in kcal/mol of atoms: 3.1
Magnetic moment in μB per atom: 0.00
Symmetry: P4/mbm, No. 127

abc: 8.4973 8.4973 8.7738
angles: 90.00 90.00 90.00
Closest atoms and distances in Å follow each position.
Element x y z (fractional)
La (0.0000, 0.0000, 0.0000)  4 Pm 3.36
La (0.2223, 0.2777, 0.2852)  1 Pm 3.11, 1 In 3.27
La (0.2223, 0.2777, 0.7148)  1 Pm 3.11, 1 In 3.27
La (0.2777, 0.7777, 0.2852)  1 Pm 3.11, 1 In 3.27
La (0.2777, 0.7777, 0.7148)  1 Pm 3.11, 1 In 3.27
La (0.5000, 0.5000, 0.0000)  4 Pm 3.36
La (0.7223, 0.2223, 0.2852)  1 Pm 3.11, 1 In 3.27
La (0.7223, 0.2223, 0.7148)  1 Pm 3.11, 1 In 3.27
La (0.7777, 0.7223, 0.2852)  1 Pm 3.11, 1 In 3.27
La (0.7777, 0.7223, 0.7148)  1 Pm 3.11, 1 In 3.27
Pm (0.1243, 0.6243, 0.0000)  1 Pm 2.99, 2 La 3.11
Pm (0.3757, 0.1243, 0.0000)  1 Pm 2.99, 2 La 3.11
Pm (0.6243, 0.8757, 0.0000)  1 Pm 2.99, 2 La 3.11
Pm (0.8757, 0.3757, 0.0000)  1 Pm 2.99, 2 La 3.11
Nd (0.0000, 0.0000, 0.5000)  8 La 3.56
Nd (0.5000, 0.5000, 0.5000)  8 La 3.56
In (0.0000, 0.5000, 0.5000)  4 La 3.27
In (0.5000, 0.0000, 0.5000)  4 La 3.27